ThBiCl2F6: relaxed, PBE.

Cell and atoms, written as POSCAR:
```
ThBiCl2F6
1.0
-2.177 -3.770 4.790
2.489 -5.200 -2.961
4.100 -3.873 3.160
Th Bi Cl F
1 1 2 6
direct
0.500 0.500 0.000
0.000 0.000 0.000
0.250 0.750 0.500
0.750 0.250 0.500
0.252 0.747 0.000
0.748 0.747 0.000
0.253 0.253 0.495
0.748 0.253 0.000
0.252 0.253 0.000
0.747 0.747 0.505
```

The magnetic moment is 1.0 μB per formula unit. The value obtained for the theoretical density is 5.41 g/cm3. The value obtained for the uncorrected formation energy is -2600 meV/atom.



UBiCl2F6: relaxed, PBE.

Cell and atoms, written as POSCAR:
```
UBiCl2F6
1.0
6.326 0.000 -0.003
0.000 6.335 -0.005
3.161 3.164 4.473
U Bi Cl F
1 1 2 6
direct
0.500 0.500 0.000
0.000 0.000 0.000
0.250 0.750 0.500
0.750 0.250 0.500
0.262 0.738 0.000
0.738 0.738 0.000
0.262 0.262 0.476
0.738 0.262 0.000
0.262 0.262 0.000
0.738 0.738 0.524
```

The magnetic moment is 0.9 μB per formula unit. The value obtained for the theoretical density is 5.85 g/cm3. The value obtained for the uncorrected formation energy is -2402 meV/atom.



Question: The highest theoretical density belongs to which entry?
Answer: UBiCl2F6



Question: The lowest magnetic moment belongs to which entry?
Answer: UBiCl2F6